Record 1
VASP calculation (PBE-GGA) on a relaxed LaOF crystal.

Values from the calculation:
V in Å³ per cell: 97.95
Calculated total energy in eV per atom: -7.81
Calculated density in Mg/m³: 5.9
Fermi-level density of states in states/eV/atom: 0.000

```
data_LaOF
_chemical_formula_sum 'La2 O2 F2'
_symmetry_space_group_name_H-M 'P 4/n m m'
_symmetry_Int_Tables_number 129
_cell_length_a 4.090
_cell_length_b 4.090
_cell_length_c 5.856
_cell_angle_alpha 90.00
_cell_angle_beta 90.00
_cell_angle_gamma 90.00
loop_
_symmetry_equiv_pos_as_xyz
'x,y,z'
'-x,-y,-z'
'-y+1/2,x,z'
'y+1/2,-x,-z'
'-x+1/2,-y+1/2,z'
'x+1/2,y+1/2,-z'
'y,-x+1/2,z'
'-y,x+1/2,-z'
'x+1/2,-y,-z'
'-x+1/2,y,z'
'-y,-x,-z'
'y,x,z'
'-x,y+1/2,-z'
'x,-y+1/2,z'
'y+1/2,x+1/2,-z'
'-y+1/2,-x+1/2,z'
loop_
_atom_site_label
_atom_site_type_symbol
_atom_site_fract_x
_atom_site_fract_y
_atom_site_fract_z
La1 La 0.250 0.250 0.214
O1 O 0.250 0.750 0.000
F1 F 0.250 0.750 0.500
```

Record 2
VASP calculation (PBE-GGA) on a relaxed K2CdCoCl6 crystal.

Values from the calculation:
V in Å³ per cell: 1620.61
Calculated total energy in eV per atom: -3.37
Calculated density in Mg/m³: 2.8
Fermi-level density of states in states/eV/atom: 0.227

```
data_K2CdCoCl6
_chemical_formula_sum 'K12 Cd6 Co6 Cl36'
_symmetry_space_group_name_H-M 'R -3 m'
_symmetry_Int_Tables_number 166
_symmetry_space_group_name_Hall '-R 3 2"'
_cell_length_a 7.1445
_cell_length_b 7.1445
_cell_length_c 36.6614
_cell_angle_alpha 90.00
_cell_angle_beta 90.00
_cell_angle_gamma 120.00
loop_
_atom_site_label
_atom_site_type_symbol
_atom_site_fract_x
_atom_site_fract_y
_atom_site_fract_z
K1 K 0.0000 0.0000 0.1282
K2 K 0.0000 0.0000 0.2982
Cd1 Cd 0.0000 0.0000 0.4136
Co1 Co 0.0000 0.0000 0.0000
Co2 Co 0.0000 0.0000 0.5000
Cl1 Cl 0.0097 0.5049 0.1273
Cl2 Cl 0.0118 0.5059 0.7052
```